Entry from Alexandria via LeMat-Bulk: a relaxed Si2RuCl crystal (GGA-PBE).

Cell lengths 4.0208, 4.0208, 7.1790 Å; angles 84.74, 84.74, 45.51 degrees
Positions (direct):
Cl 0.4802 0.4802 0.6063
Ru 0.7361 0.7361 0.8215
Si 0.0129 0.0129 0.9602
Si 0.2708 0.2708 0.1120

## Properties
E_form (uncorrected) = 0.067 eV per atom
energy = -21.70 eV per cell
ΔE to the lowest computed polymorph = 211 meV/atom
D(E_F) = 1.047 states/eV per cell
spin magnetization = 0.00 μB per cell